Material: Ba2CaNd2Hg5
Method: DFT, PBE-GGA
State: relaxed

Calculated values
As for the formation energy from the elements: -0.391 eV/atom. The value obtained for the calculated density is 8.24 g cm⁻³. The value obtained for the density of states at the Fermi level is 7.35 states/eV/f.u.

a b c (Å): 4.242 12.358 12.358
angles (deg): 90.00 90.00 90.00
Fractional coordinates of all 20 atoms:
1 Ba 0.000 0.672 0.172
2 Ba 0.000 0.328 0.828
3 Ba 0.000 0.172 0.328
4 Ba 0.000 0.828 0.672
5 Ca 0.000 0.000 0.000
6 Ca 0.000 0.500 0.500
7 Nd 0.000 0.130 0.630
8 Nd 0.000 0.870 0.370
9 Nd 0.000 0.630 0.870
10 Nd 0.000 0.370 0.130
11 Hg 0.500 0.185 0.070
12 Hg 0.500 0.815 0.930
13 Hg 0.500 0.070 0.815
14 Hg 0.500 0.685 0.430
15 Hg 0.500 0.930 0.185
16 Hg 0.500 0.315 0.570
17 Hg 0.500 0.570 0.685
18 Hg 0.500 0.430 0.315
19 Hg 0.500 0.500 0.000
20 Hg 0.500 0.000 0.500

=====

Material: BaCa2NdHg4
Method: DFT, PBE-GGA
State: relaxed

Calculated values
As for the formation energy from the elements: -0.510 eV/atom. The value obtained for the calculated density is 8.08 g cm⁻³. The value obtained for the density of states at the Fermi level is 7.93 states/eV/f.u.

a b c (Å): 5.503 5.503 9.661
angles (deg): 73.45 73.45 60.00
Fractional coordinates of all 8 atoms:
1 Ba 0.000 0.000 0.000
2 Ca 0.752 0.752 0.745
3 Ca 0.248 0.248 0.255
4 Nd 0.500 0.500 0.500
5 Hg 0.382 0.382 0.853
6 Hg 0.871 0.871 0.387
7 Hg 0.129 0.129 0.613
8 Hg 0.618 0.618 0.147

=====

E in eV for the cell shown, matching the order above: -41.61 -15.98